No. 1
Here is Ba5B3CNO9 after structural relaxation from the Alexandria database. Energies are from PBE.

Properties
Calculated density (g cm⁻³): 4.6
Magnetic moment (μB per formula unit): 0.00
Raw formation energy (eV per atom): -2.465

Geometry as extended XYZ:
```
38
Lattice="-1.371 9.045 0.850 -3.470 -2.916 -7.992 -7.099 -1.415 3.599" Properties=species:S:1:pos:R:3 pbc="T T T"
Ba -4.938 -1.521 -5.799
Ba -1.251 1.583 -1.845
Ba -8.505 -2.329 -4.074
Ba -6.050 -0.114 -1.705
Ba -4.573 3.162 0.105
Ba -7.140 3.838 -3.497
Ba -9.981 1.032 -2.322
Ba -3.435 7.043 0.532
Ba -3.276 5.349 -3.163
Ba -7.002 6.235 2.257
B -4.226 5.350 -6.233
B -8.796 -2.011 -0.541
B -4.165 0.072 0.891
B -6.258 6.105 -1.423
B -1.253 4.331 -0.212
B -7.574 1.003 -4.909
O -2.714 7.873 -2.055
O -8.419 -0.701 -0.824
O -4.369 5.002 2.223
O -2.341 3.921 -0.977
O -8.364 5.388 -5.303
O -4.989 4.733 -5.239
O -3.405 0.668 -0.117
O -5.545 0.261 0.984
O -7.232 -0.243 -5.424
O -10.961 -0.963 -4.047
O -8.147 4.272 3.625
O -9.941 3.766 -2.713
O -5.430 5.035 -1.752
O -2.387 -1.337 -5.094
O -7.691 1.174 -3.532
O -6.114 6.737 -0.192
O -5.836 -2.483 -3.207
O -0.027 0.034 -0.039
C -4.437 1.334 -3.688
C -7.503 3.380 0.146
N -4.272 2.276 -2.992
N -7.669 2.438 -0.550
```



No. 2
Here is PrHo2Er after structural relaxation from the Alexandria database. Energies are from PBE.

Properties
Distance to the lowest polymorph of the same formula (meV/atom): 20
Calculated density (g cm⁻³): 8.2
Magnetic moment (μB per formula unit): 0.00

Geometry as extended XYZ:
```
4
Lattice="-0.501 3.517 0.476 -2.638 1.687 -1.745 -8.258 -0.479 8.339" Properties=species:S:1:pos:R:3 pbc="T T T"
Ho -2.803 1.195 1.712
Ho -6.505 0.059 6.209
Pr -5.688 2.366 3.522
Er -2.098 3.467 -0.839
```



No. 3
Here is PmTcGeH2 after structural relaxation from the Alexandria database. Energies are from PBE.

Properties
Calculated density (g cm⁻³): 8.1
Magnetic moment (μB per formula unit): 0.00
E_tot (eV per atom): -5.827

Geometry as extended XYZ:
```
10
Lattice="-1.088 -3.278 1.728 1.447 -1.062 -5.420 5.914 -1.024 1.779" Properties=species:S:1:pos:R:3 pbc="T T T"
H 0.381 -3.509 -2.101
H 2.701 -3.911 -1.403
H 3.572 -1.454 -0.510
H 5.892 -1.856 0.188
Tc 0.000 0.000 0.000
Tc 2.957 -0.512 0.890
Pm 2.012 -1.852 -2.247
Pm 4.261 -3.513 0.335
Ge 1.069 -2.296 0.633
Ge 5.204 -3.069 -2.545
```



No. 4
Here is Zr2H2Rh after structural relaxation from the Alexandria database. Energies are from PBE.

Properties
Distance to the lowest polymorph of the same formula (meV/atom): 380
Calculated density (g cm⁻³): 7.6
Magnetic moment (μB per formula unit): 0.00

Geometry as extended XYZ:
```
10
Lattice="6.452 0.000 0.000 0.000 6.452 0.000 0.000 0.000 3.010" Properties=species:S:1:pos:R:3 pbc="T T T"
H 0.725 2.501 0.000
H 5.727 3.951 0.000
H 3.951 0.725 0.000
H 2.501 5.727 0.000
Rh 3.226 3.226 0.000
Rh 0.000 0.000 0.000
Zr 4.301 5.377 1.505
Zr 1.075 4.301 1.505
Zr 5.377 2.151 1.505
Zr 2.151 1.075 1.505
```



No. 5
Here is NbSnPS2 after structural relaxation from the Alexandria database. Energies are from PBE.

Properties
Distance to the lowest polymorph of the same formula (meV/atom): 1080
Calculated density (g cm⁻³): 4.3
Magnetic moment (μB per formula unit): 1.91
Raw formation energy (eV per atom): 0.921

Geometry as extended XYZ:
```
5
Lattice="-0.489 1.323 -4.682 1.944 -4.261 -1.407 -4.507 -2.023 -0.101" Properties=species:S:1:pos:R:3 pbc="T T T"
Nb -1.526 -2.481 -3.095
S 0.972 -2.130 -0.703
S -0.244 0.661 -2.341
P -2.254 -1.012 -0.051
Sn 0.000 0.000 0.000
```



No. 6
Here is RbMgBe after structural relaxation from the Alexandria database. Energies are from PBE.

Properties
Distance to the lowest polymorph of the same formula (meV/atom): 55
Calculated density (g cm⁻³): 1.9
Magnetic moment (μB per formula unit): 0.00

Geometry as extended XYZ:
```
6
Lattice="4.321 -0.014 0.040 2.146 3.737 0.047 2.152 1.087 12.820" Properties=species:S:1:pos:R:3 pbc="T T T"
Mg 5.929 3.337 3.378
Mg 1.607 0.843 5.323
Be 3.759 2.095 3.395
Be 1.635 0.858 2.885
Rb 3.774 2.075 8.410
Rb 3.827 2.114 0.107
```



No. 7
Here is IrN2Cl after structural relaxation from the Alexandria database. Energies are from PBE.

Properties
Distance to the lowest polymorph of the same formula (meV/atom): 0
Calculated density (g cm⁻³): 8.2
Magnetic moment (μB per formula unit): 0.00
Raw formation energy (eV per atom): 0.865

Geometry as extended XYZ:
```
4
Lattice="1.844 0.000 5.871 -0.922 1.597 5.871 -0.922 -1.597 5.871" Properties=species:S:1:pos:R:3 pbc="T T T"
N 0.000 0.000 15.611
N 0.000 0.000 2.003
Ir 0.000 0.000 8.807
Cl 0.000 0.000 0.000
```



No. 8
Here is Pt2BrO after structural relaxation from the Alexandria database. Energies are from PBE.

Properties
Distance to the lowest polymorph of the same formula (meV/atom): 598
Calculated density (g cm⁻³): 13.5
Magnetic moment (μB per formula unit): 0.00
Raw formation energy (eV per atom): 0.909

Geometry as extended XYZ:
```
4
Lattice="0.000 3.101 3.101 3.101 0.000 3.101 3.101 3.101 0.000" Properties=species:S:1:pos:R:3 pbc="T T T"
Br 3.101 3.101 3.101
O 0.000 0.000 0.000
Pt 4.651 4.651 4.651
Pt 1.550 1.550 1.550
```



No. 9
Here is BiB3Pb after structural relaxation from the Alexandria database. Energies are from PBE.

Properties
Calculated density (g cm⁻³): 7.3
Magnetic moment (μB per formula unit): 0.00
E_tot (eV per atom): -3.265

Geometry as extended XYZ:
```
5
Lattice="4.677 0.000 0.000 0.000 4.677 0.000 0.000 0.000 4.677" Properties=species:S:1:pos:R:3 pbc="T T T"
B 0.000 0.000 2.338
B 2.338 0.000 0.000
B 0.000 2.338 0.000
Bi 2.338 2.338 2.338
Pb 0.000 0.000 0.000
```



No. 10
Here is RbInSi after structural relaxation from the Alexandria database. Energies are from PBE.

Properties
Calculated density (g cm⁻³): 3.7
Magnetic moment (μB per formula unit): 0.00
Raw formation energy (eV per atom): 0.001

Geometry as extended XYZ:
```
6
Lattice="7.794 0.000 0.000 0.000 4.510 0.000 0.000 0.000 5.876" Properties=species:S:1:pos:R:3 pbc="T T T"
Si 6.630 2.255 0.000
Si 1.164 2.255 0.000
In 5.312 0.000 0.000
In 2.482 0.000 0.000
Rb 3.897 2.255 2.938
Rb 0.000 0.000 2.938
```



No. 11
Here is NaInPd3 after structural relaxation from the Alexandria database. Energies are from PBE.

Properties
Distance to the lowest polymorph of the same formula (meV/atom): 592
Calculated density (g cm⁻³): 6.0
Magnetic moment (μB per formula unit): 0.00

Geometry as extended XYZ:
```
5
Lattice="-1.844 4.675 -0.234 -4.609 -1.769 0.969 0.818 0.570 4.931" Properties=species:S:1:pos:R:3 pbc="T T T"
Pd 0.409 0.285 2.466
Pd -2.304 -0.885 0.485
Pd -0.922 2.337 -0.117
In 0.000 0.000 0.000
Na -2.817 1.738 2.833
```



No. 12
Here is LiPmSnSb after structural relaxation from the Alexandria database. Energies are from PBE.

Properties
Calculated density (g cm⁻³): 6.2
Magnetic moment (μB per formula unit): 0.00
Raw formation energy (eV per atom): -0.469

Geometry as extended XYZ:
```
4
Lattice="5.290 0.000 0.000 2.645 4.581 0.000 2.645 1.527 4.319" Properties=species:S:1:pos:R:3 pbc="T T T"
Sn 2.645 1.527 1.080
Sb 7.935 4.581 3.239
Li 5.290 3.054 2.160
Pm 0.000 0.000 0.000
```



No. 13
Here is NiIrPt2 after structural relaxation from the Alexandria database. Energies are from PBE.

Properties
Distance to the lowest polymorph of the same formula (meV/atom): 248
Calculated density (g cm⁻³): 18.2
Magnetic moment (μB per formula unit): 0.08

Geometry as extended XYZ:
```
4
Lattice="0.000 3.081 3.081 3.081 0.000 3.081 3.081 3.081 0.000" Properties=species:S:1:pos:R:3 pbc="T T T"
Pt 1.540 1.540 1.540
Pt 4.621 4.621 4.621
Ni 0.000 0.000 0.000
Ir 3.081 3.081 3.081
```